Here is a relaxed MgCdSn2Rh crystal from Alexandria. Energies are from PBE-GGA.

## Properties
**Raw total energy**: -18.4 eV/cell
**ΔH_f (0 K)**: -109 meV/atom
**Total magnetization**: 0.00 μB/atom
**Space group**: P4/mmm, No. 123

Unit cell a=5.1014 b=5.1014 c=5.0467 alpha=90.00 beta=90.00 gamma=90.00
With the nearest neighbours (Å) after each atom.
Element x y z (fractional)
1 Mg 0.0000 0.0000 0.5000  2 Rh 2.52
2 Cd 0.5000 0.5000 0.5000  8 Sn 3.59, 4 Mg 3.61
3 Rh 0.0000 0.0000 0.0000  2 Mg 2.52, 4 Sn 2.55
4 Sn 0.5000 0.0000 0.0000  2 Rh 2.55
5 Sn 0.0000 0.5000 0.0000  2 Rh 2.55

Here is a relaxed CuSb2Br crystal from Alexandria. Energies are from PBE-GGA.

## Properties
**Raw total energy**: -12.5 eV/cell
**Total magnetization**: 0.00 μB/atom
**Energy relative to the lowest polymorph listed for this composition**: 451 meV per atom
**Space group**: P4/mmm, No. 123

Unit cell a=5.4280 b=5.4280 c=3.1941 alpha=90.00 beta=90.00 gamma=90.01
With the nearest neighbours (Å) after each atom.
Element x y z (fractional)
1 Sb 0.0000 0.0000 0.0000  4 Br 3.15, 4 Cu 3.15, 2 Sb 3.19
2 Cu 0.0000 0.5000 0.5000  8 Sb 3.15, 2 Cu 3.19
3 Sb 0.5000 0.5000 0.0000  4 Cu 3.15, 4 Br 3.15, 2 Sb 3.19
4 Br 0.5000 0.0000 0.5000  8 Sb 3.15, 2 Br 3.19

Here is a relaxed CrIr crystal from Alexandria. Energies are from PBE-GGA.

## Properties
**Raw total energy**: -96.1 eV/cell
**ΔH_f (0 K)**: 1234 meV/atom
**Total magnetization**: 0.00 μB/atom
**Space group**: Pm-3n, No. 223

Unit cell a=6.5737 b=6.5737 c=6.5737 alpha=90.00 beta=90.00 gamma=90.00
With the nearest neighbours (Å) after each atom.
Element x y z (fractional)
1 Ir 0.0000 0.7500 0.5000  4 Cr 2.32
2 Ir 0.2500 0.5000 0.0000  4 Cr 2.32
3 Cr 0.2500 0.0000 0.5000  4 Ir 2.32
4 Cr 0.5000 0.7500 0.0000  4 Ir 2.32
5 Ir 0.5000 0.0000 0.7500  4 Cr 2.32
6 Cr 0.0000 0.5000 0.7500  4 Ir 2.32
7 Cr 0.5000 0.2500 0.0000  4 Ir 2.32
8 Cr 0.0000 0.5000 0.2500  4 Ir 2.32
9 Ir 0.5000 0.0000 0.2500  4 Cr 2.32
10 Ir 0.0000 0.2500 0.5000  4 Cr 2.32
11 Ir 0.7500 0.5000 0.0000  4 Cr 2.32
12 Cr 0.7500 0.0000 0.5000  4 Ir 2.32

Here is a relaxed BaTa2Al crystal from Alexandria. Energies are from PBE-GGA.

## Properties
**Raw total energy**: -26.8 eV/cell
**ΔH_f (0 K)**: 647 meV/atom
**Total magnetization**: 0.00 μB/atom
**Space group**: P2/m, No. 10

Unit cell a=4.9046 b=3.0489 c=6.8200 alpha=82.86 beta=90.00 gamma=90.00
With the nearest neighbours (Å) after each atom.
Element x y z (fractional)
1 Al 0.5000 0.2500 0.2500  4 Ta 2.79, 2 Al 3.05
2 Ta 0.0000 0.4589 0.4091  2 Ta 2.63-2.65, 2 Al 2.79
3 Ta 0.0000 0.0411 0.0909  2 Ta 2.63-2.65, 2 Al 2.79
4 Ba 0.5000 0.7500 0.7500  2 Ba 3.05